(1)
# La2AlCdC | the Alexandria database | PBE | relaxed
data_La2AlCdC
_chemical_formula_sum 'La2 Al1 Cd1 C1'
_symmetry_space_group_name_H-M 'P 4/m m m'
_symmetry_Int_Tables_number 123
_symmetry_space_group_name_Hall '-P 4 2'
_cell_length_a 5.4458
_cell_length_b 5.4458
_cell_length_c 3.9990
_cell_angle_alpha 90.00
_cell_angle_beta 90.00
_cell_angle_gamma 90.00
loop_
_atom_site_label
_atom_site_type_symbol
_atom_site_fract_x
_atom_site_fract_y
_atom_site_fract_z
_atom_site_occupancy
La1 La 0.0000 0.5000 0.0000 1
Al1 Al 0.0000 0.0000 0.5000 1
Cd1 Cd 0.5000 0.5000 0.5000 1
C1 C 0.0000 0.0000 0.0000 1
# * N(E_F): 0.803 states/eV per atom
# * energy: -4.96 eV/atom



(2)
# Mg2AlCdC | the Alexandria database | PBE | relaxed
data_Mg2AlCdC
_chemical_formula_sum 'Mg2 Al1 Cd1 C1'
_symmetry_space_group_name_H-M 'P 4/m m m'
_symmetry_Int_Tables_number 123
_symmetry_space_group_name_Hall '-P 4 2'
_cell_length_a 4.5870
_cell_length_b 4.5870
_cell_length_c 3.9668
_cell_angle_alpha 90.00
_cell_angle_beta 90.00
_cell_angle_gamma 90.00
loop_
_atom_site_label
_atom_site_type_symbol
_atom_site_fract_x
_atom_site_fract_y
_atom_site_fract_z
_atom_site_occupancy
Mg1 Mg 0.0000 0.5000 0.0000 1
Al1 Al 0.0000 0.0000 0.5000 1
Cd1 Cd 0.5000 0.5000 0.5000 1
C1 C 0.0000 0.0000 0.0000 1
# * N(E_F): 0.320 states/eV per atom
# * energy: -3.26 eV/atom



(3)
# Al2CdPbC | the Alexandria database | PBE | relaxed
data_Al2CdPbC
_chemical_formula_sum 'Al2 Cd1 Pb1 C1'
_symmetry_space_group_name_H-M 'P 4/m m m'
_symmetry_Int_Tables_number 123
_symmetry_space_group_name_Hall '-P 4 2'
_cell_length_a 5.4120
_cell_length_b 5.4120
_cell_length_c 4.0655
_cell_angle_alpha 90.00
_cell_angle_beta 90.00
_cell_angle_gamma 90.00
loop_
_atom_site_label
_atom_site_type_symbol
_atom_site_fract_x
_atom_site_fract_y
_atom_site_fract_z
_atom_site_occupancy
Al1 Al 0.0000 0.5000 0.0000 1
Cd1 Cd 0.0000 0.0000 0.0000 1
Pb1 Pb 0.5000 0.5000 0.5000 1
C1 C 0.0000 0.0000 0.5000 1
# * N(E_F): 0.483 states/eV per atom
# * energy: -2.88 eV/atom



(4)
# AlCd2CS | the Alexandria database | PBE | relaxed
data_AlCd2CS
_chemical_formula_sum 'Al1 Cd2 C1 S1'
_symmetry_space_group_name_H-M 'P 4/m m m'
_symmetry_Int_Tables_number 123
_symmetry_space_group_name_Hall '-P 4 2'
_cell_length_a 5.0989
_cell_length_b 5.0989
_cell_length_c 4.7476
_cell_angle_alpha 90.00
_cell_angle_beta 90.00
_cell_angle_gamma 90.00
loop_
_atom_site_label
_atom_site_type_symbol
_atom_site_fract_x
_atom_site_fract_y
_atom_site_fract_z
_atom_site_occupancy
Al1 Al 0.0000 0.0000 0.0000 1
Cd1 Cd 0.0000 0.5000 0.5000 1
C1 C 0.5000 0.5000 0.0000 1
S1 S 0.0000 0.0000 0.5000 1
# * N(E_F): 0.398 states/eV per atom
# * E_form (uncorrected): 1.60 eV/atom
# * energy: -2.18 eV/atom



(5)
# TaAl2CdC | the Alexandria database | PBE | relaxed
data_TaAl2CdC
_chemical_formula_sum 'Ta1 Al2 Cd1 C1'
_symmetry_space_group_name_H-M 'P 4/m m m'
_symmetry_Int_Tables_number 123
_symmetry_space_group_name_Hall '-P 4 2'
_cell_length_a 4.1534
_cell_length_b 4.1534
_cell_length_c 4.3403
_cell_angle_alpha 90.00
_cell_angle_beta 90.00
_cell_angle_gamma 90.00
loop_
_atom_site_label
_atom_site_type_symbol
_atom_site_fract_x
_atom_site_fract_y
_atom_site_fract_z
_atom_site_occupancy
Ta1 Ta 0.0000 0.0000 0.0000 1
Al1 Al 0.0000 0.5000 0.5000 1
Cd1 Cd 0.5000 0.5000 0.0000 1
C1 C 0.0000 0.0000 0.5000 1
# * N(E_F): 0.285 states/eV per atom
# * energy: -5.66 eV/atom



(6)
# AlCdTc2C | the Alexandria database | PBE | relaxed
data_AlCdTc2C
_chemical_formula_sum 'Al1 Cd1 Tc2 C1'
_symmetry_space_group_name_H-M 'P 4/m m m'
_symmetry_Int_Tables_number 123
_symmetry_space_group_name_Hall '-P 4 2'
_cell_length_a 5.0498
_cell_length_b 5.0498
_cell_length_c 3.7906
_cell_angle_alpha 90.00
_cell_angle_beta 90.00
_cell_angle_gamma 90.00
loop_
_atom_site_label
_atom_site_type_symbol
_atom_site_fract_x
_atom_site_fract_y
_atom_site_fract_z
_atom_site_occupancy
Al1 Al 0.0000 0.0000 0.0000 1
Cd1 Cd 0.5000 0.5000 0.5000 1
Tc1 Tc 0.0000 0.5000 0.5000 1
C1 C 0.5000 0.5000 0.0000 1
# * N(E_F): 0.884 states/eV per atom
# * energy: -4.43 eV/atom



(7)
# Al2TlCdC | the Alexandria database | PBE | relaxed
data_Al2TlCdC
_chemical_formula_sum 'Al2 Tl1 Cd1 C1'
_symmetry_space_group_name_H-M 'P 4/m m m'
_symmetry_Int_Tables_number 123
_symmetry_space_group_name_Hall '-P 4 2'
_cell_length_a 5.0572
_cell_length_b 5.0572
_cell_length_c 5.7706
_cell_angle_alpha 90.00
_cell_angle_beta 90.00
_cell_angle_gamma 90.00
loop_
_atom_site_label
_atom_site_type_symbol
_atom_site_fract_x
_atom_site_fract_y
_atom_site_fract_z
_atom_site_occupancy
Al1 Al 0.0000 0.5000 0.0000 1
Tl1 Tl 0.0000 0.0000 0.5000 1
Cd1 Cd 0.0000 0.0000 0.0000 1
C1 C 0.5000 0.5000 0.5000 1
# * N(E_F): 0.420 states/eV per atom
# * energy: -2.16 eV/atom



(8)
# CeAlC | the Alexandria database | PBE | relaxed
data_CeAlC
_chemical_formula_sum 'Ce4 Al4 C4'
_symmetry_space_group_name_H-M 'P n m a'
_symmetry_Int_Tables_number 62
_cell_length_a 10.3073
_cell_length_b 3.4002
_cell_length_c 6.2058
_cell_angle_alpha 90.00
_cell_angle_beta 90.00
_cell_angle_gamma 90.00
loop_
_symmetry_equiv_pos_as_xyz
'x,y,z'
'-x,-y,-z'
'-x+1/2,-y,z+1/2'
'x+1/2,y,-z+1/2'
'x+1/2,-y+1/2,-z+1/2'
'-x+1/2,y+1/2,z+1/2'
'-x,y+1/2,-z'
'x,-y+1/2,z'
loop_
_atom_site_label
_atom_site_type_symbol
_atom_site_fract_x
_atom_site_fract_y
_atom_site_fract_z
_atom_site_occupancy
Ce1 Ce 0.1712 0.2500 0.1603 1
Al1 Al 0.0721 0.2500 0.6346 1
C1 C 0.1245 0.7500 0.4473 1
# * energy above the most stable polymorph in this dataset: 0.00 eV per formula unit
# * N(E_F): 1.335 states/eV per atom
# * energy: -6.47 eV/atom



(9)
# CeAlC | the Alexandria database | PBE | relaxed
data_CeAlC
_chemical_formula_sum 'Ce1 Al1 C1'
_symmetry_space_group_name_H-M 'P -6 m 2'
_symmetry_Int_Tables_number 187
_symmetry_space_group_name_Hall 'P -6 2'
_cell_length_a 3.5063
_cell_length_b 3.5063
_cell_length_c 4.4853
_cell_angle_alpha 90.00
_cell_angle_beta 90.00
_cell_angle_gamma 120.00
loop_
_atom_site_label
_atom_site_type_symbol
_atom_site_fract_x
_atom_site_fract_y
_atom_site_fract_z
_atom_site_occupancy
Ce1 Ce 0.0000 0.0000 0.0000 1
Al1 Al 0.3333 0.6667 0.5000 1
C1 C 0.6667 0.3333 0.5000 1
# * energy above the most stable polymorph in this dataset: 0.11 eV per formula unit
# * N(E_F): 1.203 states/eV per atom
# * energy: -6.43 eV/atom



(10)
# CeAlC | the Alexandria database | PBE | relaxed
data_CeAlC
_chemical_formula_sum 'Ce2 Al2 C2'
_symmetry_space_group_name_H-M 'I 4 m m'
_symmetry_Int_Tables_number 107
_symmetry_space_group_name_Hall 'I 4 -2'
_cell_length_a 3.3766
_cell_length_b 3.3766
_cell_length_c 11.2944
_cell_angle_alpha 90.00
_cell_angle_beta 90.00
_cell_angle_gamma 90.00
loop_
_atom_site_label
_atom_site_type_symbol
_atom_site_fract_x
_atom_site_fract_y
_atom_site_fract_z
_atom_site_occupancy
Ce1 Ce 0.0000 0.0000 0.0000 1
Al1 Al 0.0000 0.0000 0.7212 1
C1 C 0.0000 0.0000 0.5484 1
# * energy above the most stable polymorph in this dataset: 0.97 eV per formula unit
# * N(E_F): 0.963 states/eV per atom
# * energy: -6.14 eV/atom



(11)
# CeAlCo2C | the Alexandria database | PBE | relaxed
data_CeAlCo2C
_chemical_formula_sum 'Ce4 Al4 Co8 C4'
_symmetry_space_group_name_H-M 'C m c m'
_symmetry_Int_Tables_number 63
_symmetry_space_group_name_Hall '-C 2c 2'
_cell_length_a 3.9089
_cell_length_b 10.8177
_cell_length_c 6.7751
_cell_angle_alpha 90.00
_cell_angle_beta 90.00
_cell_angle_gamma 90.00
loop_
_atom_site_label
_atom_site_type_symbol
_atom_site_fract_x
_atom_site_fract_y
_atom_site_fract_z
_atom_site_occupancy
Ce1 Ce 0.0000 0.0617 0.2500 1
Al1 Al 0.0000 0.2200 0.7500 1
Co1 Co 0.0000 0.3405 0.0561 1
C1 C 0.0000 0.5000 0.0000 1
# * N(E_F): 0.946 states/eV per atom
# * energy: -6.96 eV/atom



(12)
# Ce2DyAlC | the Alexandria database | PBE | relaxed
data_Ce2DyAlC
_chemical_formula_sum 'Ce2 Dy1 Al1 C1'
_symmetry_space_group_name_H-M 'P 4/m m m'
_symmetry_Int_Tables_number 123
_symmetry_space_group_name_Hall '-P 4 2'
_cell_length_a 4.9029
_cell_length_b 4.9029
_cell_length_c 4.9340
_cell_angle_alpha 90.00
_cell_angle_beta 90.00
_cell_angle_gamma 90.00
loop_
_atom_site_label
_atom_site_type_symbol
_atom_site_fract_x
_atom_site_fract_y
_atom_site_fract_z
_atom_site_occupancy
Ce1 Ce 0.0000 0.5000 0.0000 1
Dy1 Dy 0.0000 0.0000 0.5000 1
Al1 Al 0.5000 0.5000 0.5000 1
C1 C 0.0000 0.0000 0.0000 1
# * N(E_F): 1.571 states/eV per atom
# * energy: -6.15 eV/atom



What is the formula in the tenth record? CeAlC